(1)
12
Lattice="-4.425 -0.558 1.957 -1.875 -7.115 -6.268 0.581 -5.258 5.795" Properties=species:S:1:pos:R:3 comment="Na5CaBi6 PBE-GGA optimized geometry" formation_energy_ev_per_atom=-0.38 space_group=P2/m pbc="T T T"
Na -3.504 -7.428 2.028
Na -3.117 -9.126 -3.614
Na -0.938 -3.558 -3.134
Na -2.602 -3.805 5.099
Na -2.215 -5.503 -0.543
Ca 0.000 0.000 0.000
Bi -4.907 -7.558 -1.155
Bi -3.964 -3.978 1.999
Bi -2.675 -2.034 -0.567
Bi -3.044 -10.897 2.052
Bi -1.756 -8.953 -0.514
Bi -0.812 -5.373 2.640

=====

(2)
4
Lattice="-0.015 -1.827 -2.643 3.001 0.936 -0.664 2.102 -4.528 3.120" Properties=species:S:1:pos:R:3 comment="LiSbRh2 PBE-GGA optimized geometry" formation_energy_uncorrected_ev_per_atom=-0.328 space_group=P4/mmm pbc="T T T"
Li 3.070 -3.842 0.686
Rh 2.094 -4.511 3.108
Rh 1.059 -2.281 1.572
Sb 2.019 -1.578 -0.873

=====

(3)
4
Lattice="2.815 -0.009 0.000 -1.271 2.513 0.000 0.000 0.000 7.582" Properties=species:S:1:pos:R:3 comment="ReSi2Ni PBE-GGA optimized geometry" formation_energy_uncorrected_ev_per_atom=0.037 space_group=Cmmm pbc="T T T"
Ni 0.772 1.252 1.896
Re 0.772 1.252 5.687
Si 0.000 0.000 0.072
Si 0.000 0.000 3.719

=====

(4)
11
Lattice="4.635 0.000 0.000 0.000 8.794 0.000 -2.317 -4.397 8.517" Properties=species:S:1:pos:R:3 comment="Ca3Tm4Tl4 PBE-GGA optimized geometry" formation_energy_ev_per_atom=-0.19 space_group=Immm pbc="T T T"
Ca 0.000 0.000 1.936
Ca 2.317 4.397 6.581
Ca 0.000 4.397 0.000
Tm 0.000 -1.752 5.577
Tm 2.317 2.645 2.940
Tm 2.317 6.149 2.940
Tm 0.000 1.752 5.577
Tl 0.000 4.397 3.951
Tl 2.317 0.000 4.565
Tl 2.317 7.080 0.000
Tl 2.317 1.714 0.000

=====

(5)
4
Lattice="-0.835 0.673 -5.097 -4.843 -0.250 -1.901 -2.355 4.322 -1.705" Properties=species:S:1:pos:R:3 comment="AcSnAsPt PBE-GGA optimized geometry" formation_energy_ev_per_atom=-0.59 space_group=F-43m pbc="T T T"
As -4.016 2.372 -4.351
Ac -6.024 3.559 -6.527
Sn -2.008 1.186 -2.176
Pt 0.000 0.000 0.000

=====

(6)
4
Lattice="-3.598 -0.921 -0.337 0.673 -1.410 -3.329 0.622 -3.831 3.816" Properties=species:S:1:pos:R:3 comment="LaGeN2 PBE-GGA optimized geometry" formation_energy_uncorrected_ev_per_atom=-0.430 space_group=Pm pbc="T T T"
La -1.089 -4.926 1.947
Ge 0.637 -3.241 -0.440
N 0.992 -4.909 0.321
N -1.269 -3.205 -0.824

=====

(7)
3
Lattice="3.731 0.000 0.000 -1.866 3.232 0.000 0.000 0.000 7.008" Properties=species:S:1:pos:R:3 comment="LaMnBr PBE-GGA optimized geometry" formation_energy_uncorrected_ev_per_atom=-0.203 space_group=P3m1 pbc="T T T"
Br 0.000 0.000 6.990
La 1.866 1.077 2.302
Mn 0.000 2.154 4.724

=====

(8)
6
Lattice="-3.078 -2.723 -0.380 2.788 0.397 -3.017 5.241 -6.480 3.991" Properties=species:S:1:pos:R:3 comment="CaTcRh PBE-GGA optimized geometry" formation_energy_ev_per_atom=0.26 de_polymorph_mev_per_atom=367 space_group=P6_3/mmc pbc="T T T"
Ca 0.000 0.000 0.000
Ca 2.620 -3.240 1.995
Rh 4.763 -5.503 0.855
Rh 0.188 -3.303 -0.261
Tc 2.143 -2.263 -1.140
Tc 2.808 -6.543 1.734

=====

(9)
4
Lattice="4.556 0.172 0.327 -1.827 4.198 0.113 0.902 2.082 3.961" Properties=species:S:1:pos:R:3 comment="FePtSe2 PBE-GGA optimized geometry" formation_energy_uncorrected_ev_per_atom=0.198 de_polymorph_mev_per_atom=379 space_group=Fmmm pbc="T T T"
Fe -0.462 3.140 2.037
Pt 1.364 2.185 0.220
Se 0.000 0.000 0.000
Se 2.729 1.127 2.144

=====

(10)
4
Lattice="-0.314 -0.106 3.689 3.155 -6.960 0.069 3.380 1.535 0.332" Properties=species:S:1:pos:R:3 comment="CuBrCl2 PBE-GGA optimized geometry" formation_energy_uncorrected_ev_per_atom=0.137 de_polymorph_mev_per_atom=389 space_group=Pmmm pbc="T T T"
Cu 1.533 0.715 2.010
Br 3.267 -2.713 0.201
Cl 0.000 0.000 0.000
Cl 1.420 -3.533 1.879

=====

(11)
9
Lattice="4.139 0.000 0.000 0.000 4.139 0.000 0.000 0.000 9.362" Properties=species:S:1:pos:R:3 comment="LiTbGe2Pt5 PBE-GGA optimized geometry" formation_energy_ev_per_atom=-0.77 space_group=P4/mmm pbc="T T T"
Li 0.000 0.000 0.000
Tb 0.000 0.000 4.681
Ge 2.070 2.070 1.223
Ge 2.070 2.070 8.139
Pt 0.000 2.070 2.571
Pt 2.070 0.000 2.571
Pt 0.000 2.070 6.791
Pt 2.070 0.000 6.791
Pt 2.070 2.070 4.681

=====

(12)
12
Lattice="-5.740 3.850 -1.757 0.410 -3.062 6.428 4.789 5.362 0.930" Properties=species:S:1:pos:R:3 comment="Th6PSe3S2 PBE-GGA optimized geometry" formation_energy_uncorrected_ev_per_atom=-1.668 space_group=C2/m pbc="T T T"
Th -1.376 5.864 2.881
Th -2.859 1.823 3.688
Th 0.834 0.287 2.720
Th 0.672 3.561 5.607
Th 2.318 4.327 1.913
Th -1.214 2.589 -0.006
P 0.000 0.000 0.000
Se 1.789 0.760 5.542
Se -2.331 5.390 0.059
Se -0.271 3.075 2.800
S -1.637 -0.761 3.703
S -3.693 1.549 0.967

=====

(13)
7
Lattice="2.720 0.000 0.529 1.308 2.384 0.529 -0.635 -0.376 10.525" Properties=species:S:1:pos:R:3 comment="YB2O4 PBE-GGA optimized geometry" formation_energy_uncorrected_ev_per_atom=-1.875 de_polymorph_mev_per_atom=592 space_group=R-3m pbc="T T T"
Y 0.000 0.000 0.000
B 2.622 1.552 8.291
B 0.771 0.457 3.291
O 2.361 1.397 9.634
O 3.359 1.988 4.501
O 1.032 0.611 1.949
O 0.035 0.020 7.082

=====

(14)
7
Lattice="-2.064 -0.534 -4.983 3.602 -3.905 -1.073 -4.337 -7.672 -0.329" Properties=species:S:1:pos:R:3 comment="Y2Sn4Br PBE-GGA optimized geometry" formation_energy_uncorrected_ev_per_atom=0.164 space_group=I4/mmm pbc="T T T"
Y -2.362 -8.604 -3.995
Y -0.437 -3.508 -2.391
Sn -0.378 -6.486 -5.043
Sn -2.421 -5.626 -1.342
Sn 1.801 -1.953 -0.537
Sn -1.032 -0.267 -2.492
Br 0.000 0.000 0.000

=====

(15)
4
Lattice="4.644 0.002 -0.002 1.375 4.435 0.002 -2.284 -3.202 2.469" Properties=species:S:1:pos:R:3 comment="BePRu2 PBE-GGA optimized geometry" formation_energy_ev_per_atom=-0.05 de_polymorph_mev_per_atom=420 space_group=Immm pbc="T T T"
Ru 5.924 4.368 0.000
Ru 3.103 2.288 0.000
Be 1.050 1.726 1.235
P 2.684 -0.490 1.233

=====

(16)
16
Lattice="-1.239 -1.061 -2.290 -2.062 -1.095 1.622 -12.460 19.842 -2.449" Properties=species:S:1:pos:R:3 comment="ZnB3Ir4 PBE-GGA optimized geometry" formation_energy_ev_per_atom=-0.26 space_group=Pmmm pbc="T T T"
Zn -6.849 9.391 -2.370
Zn 0.000 0.000 0.000
B -5.312 6.942 -2.068
B -1.527 2.431 -0.300
B -10.933 17.411 -2.149
B -4.023 4.217 0.223
B -10.499 14.530 -1.050
B -8.387 11.840 -2.672
Ir -13.059 17.090 -2.577
Ir -3.071 3.373 -1.627
Ir -8.634 13.749 -1.697
Ir -10.628 15.408 -3.113
Ir -2.702 0.597 -0.541
Ir -3.826 6.094 -0.752
Ir -6.226 7.725 -0.210
Ir -8.297 11.023 -0.617

=====

(17)
4
Lattice="5.836 0.000 0.000 2.918 5.054 0.000 2.918 1.685 4.765" Properties=species:S:1:pos:R:3 comment="Ac2EuZn PBE-GGA optimized geometry" formation_energy_ev_per_atom=0.05 de_polymorph_mev_per_atom=165 space_group=Fm-3m pbc="T T T"
Eu 0.000 0.000 0.000
Ac 2.918 1.685 1.191
Ac 8.755 5.054 3.574
Zn 5.836 3.370 2.383

=====

(18)
3
Lattice="6.959 -0.002 0.000 5.344 4.458 0.000 -6.151 -2.228 2.372" Properties=species:S:1:pos:R:3 comment="YScCl PBE-GGA optimized geometry" formation_energy_uncorrected_ev_per_atom=-0.657 de_polymorph_mev_per_atom=215 space_group=I4mm pbc="T T T"
Cl 12.272 4.445 0.000
Sc 4.169 1.510 0.000
Y 8.165 2.957 0.000

=====

(19)
5
Lattice="4.794 0.000 0.000 0.000 4.794 0.000 0.000 0.000 4.794" Properties=species:S:1:pos:R:3 comment="NbCdIr3 PBE-GGA optimized geometry" formation_energy_ev_per_atom=1.30 de_polymorph_mev_per_atom=0 space_group=Pm-3m pbc="T T T"
Nb 0.000 0.000 0.000
Ir 0.000 2.397 0.000
Ir 0.000 0.000 2.397
Ir 2.397 0.000 0.000
Cd 2.397 2.397 2.397

=====

(20)
5
Lattice="-2.201 -2.982 -2.852 4.013 -0.794 -2.267 0.962 -3.514 2.932" Properties=species:S:1:pos:R:3 comment="TiHPd3 PBE-GGA optimized geometry" de_polymorph_mev_per_atom=1453 space_group=Pm-3m pbc="T T T"
H 1.387 -3.645 -1.093
Pd 2.006 -0.397 -1.133
Pd 0.481 -1.757 1.466
Pd -1.100 -1.491 -1.426
Ti 0.000 0.000 0.000